*i*
An optimized crystal structure of TbTm2Te. Source: Alexandria, functional PBE.

Results
SG = No. 123

Lattice parameters (Å, degrees): 3.818 3.818 7.889 90.00 90.00 90.00
Fractional coordinates of all 4 atoms:
Te  0.500  0.500  0.000
Tm  0.000  0.000  0.775
Tm  0.000  0.000  0.225
Tb  0.500  0.500  0.500


*ii*
An optimized crystal structure of TbTm2Te. Source: Alexandria, functional PBE.

Results
SG = No. 166

Lattice parameters (Å, degrees): 3.749 3.749 11.025 80.21 80.21 60.00
Site moments in Bohr magnetons follow the coordinates.
Fractional coordinates of all 4 atoms:
Te  0.500  0.500  0.500  0.00
Tm  0.103  0.103  0.692  0.10
Tm  0.897  0.897  0.308  0.10
Tb  0.000  0.000  0.000  0.45


Relative energies with respect to the most stable structure, expressed in kJ/mol of atoms: *i* 0.0; *ii* 35.1.


*i*
An optimized crystal structure of TbTm2Te3. Source: Alexandria, functional PBE.

Results
SG = No. 167

Lattice parameters (Å, degrees): 7.199 7.199 8.753 65.72 65.72 60.00
Fractional coordinates of all 12 atoms:
Tb  0.500  0.500  0.500
Tb  0.000  0.000  0.000
Tm  0.166  0.166  0.502
Tm  0.334  0.334  0.998
Tm  0.834  0.834  0.498
Tm  0.666  0.666  0.002
Te  0.921  0.579  0.250
Te  0.250  0.921  0.250
Te  0.750  0.079  0.750
Te  0.421  0.750  0.750
Te  0.079  0.421  0.750
Te  0.579  0.250  0.250


*ii*
An optimized crystal structure of TbTm2Te3. Source: Alexandria, functional PBE.

Results
SG = No. 71

Lattice parameters (Å, degrees): 4.353 6.091 7.476 114.04 106.93 90.00
Fractional coordinates of all 6 atoms:
Tb  0.000  0.500  0.000
Tm  0.660  0.160  0.321
Tm  0.340  0.840  0.679
Te  0.328  0.328  0.656
Te  0.000  0.000  0.000
Te  0.672  0.672  0.344


Relative energies with respect to the most stable structure, expressed in kJ/mol of atoms: *i* 0.0; *ii* 2.5.


*i*
An optimized crystal structure of TbTm2Te4. Source: Alexandria, functional PBE.

Results
SG = No. 63

Lattice parameters (Å, degrees): 4.221 7.396 14.818 90.00 90.00 106.58
Fractional coordinates of all 14 atoms:
Tb  0.628  0.256  0.750
Tb  0.372  0.744  0.250
Tm  0.131  0.262  0.431
Tm  0.869  0.738  0.931
Tm  0.131  0.262  0.069
Tm  0.869  0.738  0.569
Te  0.777  0.555  0.121
Te  0.777  0.555  0.379
Te  0.223  0.445  0.879
Te  0.223  0.445  0.621
Te  0.966  0.933  0.750
Te  0.034  0.067  0.250
Te  0.500  0.000  0.000
Te  0.500  0.000  0.500


*ii*
An optimized crystal structure of TbTm2Te4. Source: Alexandria, functional PBE.

Results
SG = No. 12

Lattice parameters (Å, degrees): 4.318 7.509 8.424 116.83 104.85 90.00
Fractional coordinates of all 7 atoms:
Tb  0.000  0.000  0.000
Tm  0.745  0.760  0.490
Tm  0.255  0.240  0.510
Te  0.878  0.212  0.756
Te  0.122  0.788  0.244
Te  0.631  0.295  0.263
Te  0.369  0.705  0.737


Relative energies with respect to the most stable structure, expressed in kJ/mol of atoms: *i* 4.2; *ii* 0.0.


*i*
An optimized crystal structure of Tb4TmTe5. Source: Alexandria, functional PBE.

Results
SG = No. 139

Lattice parameters (Å, degrees): 4.292 4.292 16.255 97.59 97.59 90.00
Fractional coordinates of all 10 atoms:
Tb  0.391  0.391  0.781
Tb  0.812  0.812  0.624
Tb  0.188  0.188  0.376
Tb  0.609  0.609  0.219
Tm  0.000  0.000  0.000
Te  0.093  0.093  0.186
Te  0.500  0.500  0.000
Te  0.907  0.907  0.814
Te  0.292  0.292  0.585
Te  0.708  0.708  0.415


*ii*
An optimized crystal structure of Tb4TmTe5. Source: Alexandria, functional PBE.

Results
SG = No. 79

Lattice parameters (Å, degrees): 6.144 7.557 7.557 80.49 66.01 66.01
Fractional coordinates of all 10 atoms:
Tb  0.410  0.408  0.776
Tb  0.817  0.776  0.592
Tb  0.185  0.224  0.408
Tb  0.593  0.592  0.224
Tm  0.000  0.000  0.000
Te  0.893  0.397  0.819
Te  0.290  0.819  0.603
Te  0.712  0.181  0.397
Te  0.109  0.603  0.181
Te  0.500  0.000  0.000


Relative energies with respect to the most stable structure, expressed in kJ/mol of atoms: *i* 0.0; *ii* 0.5.


*i*
An optimized crystal structure of TbY2Te. Source: Alexandria, functional PBE.

Results
SG = No. 63

Lattice parameters (Å, degrees): 3.977 6.415 9.798 90.00 90.00 108.06
Fractional coordinates of all 8 atoms:
Tb  0.942  0.885  0.250
Tb  0.058  0.115  0.750
Y  0.365  0.730  0.538
Y  0.635  0.270  0.462
Y  0.365  0.730  0.962
Y  0.635  0.270  0.038
Te  0.764  0.528  0.750
Te  0.236  0.472  0.250


*ii*
An optimized crystal structure of TbY2Te. Source: Alexandria, functional PBE.

Results
SG = No. 123

Lattice parameters (Å, degrees): 3.873 3.873 7.915 90.00 90.00 90.00
Fractional coordinates of all 4 atoms:
Y  0.000  0.000  0.776
Y  0.000  0.000  0.224
Te  0.500  0.500  0.000
Tb  0.500  0.500  0.500


*iii*
An optimized crystal structure of TbY2Te. Source: Alexandria, functional PBE.

Results
SG = No. 160

Lattice parameters (Å, degrees): 3.899 3.899 10.013 78.78 78.78 60.00
Fractional coordinates of all 4 atoms:
Tb  0.500  0.500  0.501
Y  0.072  0.072  0.784
Y  0.261  0.261  0.216
Te  0.667  0.667  0.000


*iv*
An optimized crystal structure of TbY2Te. Source: Alexandria, functional PBE.

Results
SG = No. 166

Lattice parameters (Å, degrees): 3.837 3.837 10.905 79.87 79.87 60.00
Site moments in Bohr magnetons follow the coordinates.
Fractional coordinates of all 4 atoms:
Y  0.102  0.102  0.693  0.16
Y  0.898  0.898  0.307  0.16
Te  0.500  0.500  0.500  0.00
Tb  0.000  0.000  0.000  0.53


Relative energies with respect to the most stable structure, expressed in kJ/mol of atoms: *i* 0.0; *ii* 10.4; *iii* 11.7; *iv* 42.6.